Below is CdHg at its PBEsol-relaxed geometry, with properties calculated at the meta-GGA SCAN level.

```
8
Lattice="5.600 0.000 0.000 0.000 5.600 0.000 0.000 0.000 5.600" Properties=species:S:1:pos:R:3 pbc="T T T"
Cd 2.254 2.254 2.254
Cd 0.545 3.345 5.054
Cd 3.345 5.054 0.545
Cd 5.054 0.545 3.345
Hg 0.530 0.530 0.530
Hg 2.269 5.069 3.330
Hg 5.069 3.330 2.269
Hg 3.330 2.269 5.069
```

Values from the calculation:
Total moment: 0.00 μB per cell
Total energy: -49.28 eV/atom



Below is Mg4H2O5 at its PBEsol-relaxed geometry, with properties calculated at the meta-GGA SCAN level.

```
11
Lattice="3.029 0.000 0.000 -1.514 2.623 0.000 0.000 0.000 11.897" Properties=species:S:1:pos:R:3 pbc="T T T"
H 0.000 1.749 6.212
H 1.514 0.874 5.685
Mg 0.000 0.000 3.643
Mg 0.000 0.000 8.254
Mg 1.514 0.874 1.213
Mg 0.000 1.749 10.684
O 0.000 1.749 7.188
O 1.514 0.874 4.708
O 0.000 0.000 0.000
O 1.514 0.874 9.472
O 0.000 1.749 2.425
```

Values from the calculation:
Total moment: 0.00 μB per cell
Total energy: -7.76 eV/atom



Below is LiTc4Pt at its PBEsol-relaxed geometry, with properties calculated at the meta-GGA SCAN level.

```
6
Lattice="-2.997 -3.621 1.764 1.793 -3.381 3.250 -1.491 0.089 4.793" Properties=species:S:1:pos:R:3 pbc="T T T"
Li -2.022 -5.185 7.355
Pt 0.000 0.000 0.000
Tc -1.012 -2.596 3.682
Tc -1.755 -2.552 6.070
Tc -2.505 -4.400 4.561
Tc -0.119 -4.280 5.301
```

Values from the calculation:
Total moment: 0.00 μB per cell
Total energy: -35.15 eV/atom